(1)
First-principles (GGA-PBE) data for crystalline DyPuGaSn at its relaxed geometry, as listed in Alexandria.

Structure (extended XYZ):
```
4
Lattice="-2.342 -4.405 1.520 1.574 -2.427 4.340 -3.045 -0.007 4.234" Properties=species:S:1:pos:R:3 pbc="T T T"
Sn -1.907 -3.420 5.047
Ga 0.000 0.000 0.000
Dy -2.860 -5.129 7.570
Pu -0.953 -1.710 2.523
```

Properties
magnetic moment: 5.82 Bohr magnetons per cell
formation energy from the elements: -404.9 meV/atom
N(E_F): 2.46 states/eV/atom

(2)
First-principles (GGA-PBE) data for crystalline Rb2DyGaS4 at its relaxed geometry, as listed in Alexandria.

Structure (extended XYZ):
```
16
Lattice="-3.213 4.455 -6.225 -0.953 -7.145 -4.118 -3.555 0.685 7.586" Properties=species:S:1:pos:R:3 pbc="T T T"
Ga -3.861 -1.002 -1.379
S -3.004 -3.614 -0.865
S -0.859 -0.705 -2.053
Rb -1.778 0.342 3.793
S -4.696 -3.708 3.007
S -4.779 -1.399 -3.488
S -2.942 -0.606 0.731
Rb -2.083 -1.345 -5.172
S -6.862 -1.299 -0.704
Dy -0.477 -3.573 -2.059
S -4.717 1.609 -1.893
Rb -3.384 2.570 0.680
Dy -5.467 1.225 -4.491
Ga -6.768 5.140 1.361
S -3.025 1.703 -5.765
Rb -1.607 2.228 -3.112
```

Properties
raw formation energy: -1.164 eV per atom
magnetic moment: 0.00 Bohr magnetons per cell

(3)
First-principles (GGA-PBE) data for crystalline Rb3Dy3GaSe8 at its relaxed geometry, as listed in Alexandria.

Structure (extended XYZ):
```
15
Lattice="8.210 0.000 0.000 -4.105 7.114 -0.031 0.000 -4.708 8.273" Properties=species:S:1:pos:R:3 pbc="T T T"
Ga 0.000 -2.354 4.136
Se 6.265 -1.237 2.597
Se 0.000 2.381 2.491
Se 1.945 -1.237 2.597
Rb 2.052 3.557 -0.016
Rb -2.052 3.557 -0.016
Se 4.105 2.518 2.586
Se 4.105 0.025 5.750
Rb 0.000 0.000 0.000
Dy 2.052 1.203 4.121
Dy -2.053 1.203 4.121
Se -2.161 3.643 5.644
Se 0.000 -0.112 5.655
Dy 4.105 -2.354 4.136
Se 2.160 3.643 5.645
```

Properties
raw formation energy: -1.379 eV per atom
magnetic moment: 0.00 Bohr magnetons per cell
N(E_F): 0.79 states/eV/atom

(4)
First-principles (GGA-PBE) data for crystalline Rb2DyGaSe4 at its relaxed geometry, as listed in Alexandria.

Structure (extended XYZ):
```
16
Lattice="-3.143 7.065 3.993 -5.598 -5.191 4.176 8.611 -1.719 0.409" Properties=species:S:1:pos:R:3 pbc="T T T"
Se -1.779 0.631 6.200
Dy -2.799 -2.596 2.088
Se 3.553 -4.080 4.268
Rb -4.371 0.937 4.085
Se -3.683 4.235 4.310
Dy -1.637 3.610 6.285
Ga 5.468 5.346 4.401
Rb -1.571 3.533 1.996
Se 1.649 -0.476 2.377
Se 0.528 2.905 4.521
Se 1.654 -0.050 6.661
Se -1.784 0.205 1.917
Rb 4.306 -0.859 0.204
Rb 2.734 2.673 2.201
Ga -0.065 0.077 4.289
Se -0.658 -2.750 4.057
```

Properties
raw formation energy: -1.100 eV per atom
magnetic moment: 0.00 Bohr magnetons per cell
N(E_F): 0.16 states/eV/atom

Copy entry 2 word for word.
First-principles (GGA-PBE) data for crystalline Rb2DyGaS4 at its relaxed geometry, as listed in Alexandria.

Structure (extended XYZ):
```
16
Lattice="-3.213 4.455 -6.225 -0.953 -7.145 -4.118 -3.555 0.685 7.586" Properties=species:S:1:pos:R:3 pbc="T T T"
Ga -3.861 -1.002 -1.379
S -3.004 -3.614 -0.865
S -0.859 -0.705 -2.053
Rb -1.778 0.342 3.793
S -4.696 -3.708 3.007
S -4.779 -1.399 -3.488
S -2.942 -0.606 0.731
Rb -2.083 -1.345 -5.172
S -6.862 -1.299 -0.704
Dy -0.477 -3.573 -2.059
S -4.717 1.609 -1.893
Rb -3.384 2.570 0.680
Dy -5.467 1.225 -4.491
Ga -6.768 5.140 1.361
S -3.025 1.703 -5.765
Rb -1.607 2.228 -3.112
```

Properties
raw formation energy: -1.164 eV per atom
magnetic moment: 0.00 Bohr magnetons per cell

Copy entry 2 word for word.
First-principles (GGA-PBE) data for crystalline Rb2DyGaS4 at its relaxed geometry, as listed in Alexandria.

Structure (extended XYZ):
```
16
Lattice="-3.213 4.455 -6.225 -0.953 -7.145 -4.118 -3.555 0.685 7.586" Properties=species:S:1:pos:R:3 pbc="T T T"
Ga -3.861 -1.002 -1.379
S -3.004 -3.614 -0.865
S -0.859 -0.705 -2.053
Rb -1.778 0.342 3.793
S -4.696 -3.708 3.007
S -4.779 -1.399 -3.488
S -2.942 -0.606 0.731
Rb -2.083 -1.345 -5.172
S -6.862 -1.299 -0.704
Dy -0.477 -3.573 -2.059
S -4.717 1.609 -1.893
Rb -3.384 2.570 0.680
Dy -5.467 1.225 -4.491
Ga -6.768 5.140 1.361
S -3.025 1.703 -5.765
Rb -1.607 2.228 -3.112
```

Properties
raw formation energy: -1.164 eV per atom
magnetic moment: 0.00 Bohr magnetons per cell

Repeat the second record exactly.
First-principles (GGA-PBE) data for crystalline Rb2DyGaS4 at its relaxed geometry, as listed in Alexandria.

Structure (extended XYZ):
```
16
Lattice="-3.213 4.455 -6.225 -0.953 -7.145 -4.118 -3.555 0.685 7.586" Properties=species:S:1:pos:R:3 pbc="T T T"
Ga -3.861 -1.002 -1.379
S -3.004 -3.614 -0.865
S -0.859 -0.705 -2.053
Rb -1.778 0.342 3.793
S -4.696 -3.708 3.007
S -4.779 -1.399 -3.488
S -2.942 -0.606 0.731
Rb -2.083 -1.345 -5.172
S -6.862 -1.299 -0.704
Dy -0.477 -3.573 -2.059
S -4.717 1.609 -1.893
Rb -3.384 2.570 0.680
Dy -5.467 1.225 -4.491
Ga -6.768 5.140 1.361
S -3.025 1.703 -5.765
Rb -1.607 2.228 -3.112
```

Properties
raw formation energy: -1.164 eV per atom
magnetic moment: 0.00 Bohr magnetons per cell